[1]
# HoPa2S6, optimized geometry, DFT PBE
data_HoPa2S6
_space_group_name_H-M_alt 'P 1'
_space_group_IT_number 1
_cell_length_a 5.140
_cell_length_b 7.244
_cell_length_c 7.715
_cell_angle_alpha 71.64
_cell_angle_beta 70.54
_cell_angle_gamma 69.22
loop_
_space_group_symop_operation_xyz
'x,y,z'
loop_
_atom_site_label
_atom_site_type_symbol
_atom_site_fract_x
_atom_site_fract_y
_atom_site_fract_z
Pa1 Pa 0.815 0.256 0.115
Pa2 Pa 0.185 0.744 0.885
S1 S 0.373 0.706 0.549
S2 S 0.254 0.362 0.131
S3 S 0.746 0.638 0.869
S4 S 0.627 0.294 0.451
S5 S 0.034 0.150 0.782
S6 S 0.966 0.850 0.218
Ho1 Ho 0.000 0.500 0.500
# **Crystal system**: monoclinic
# **Calculated volume**: 27.4 Å³/atom
# **ΔE to the lowest computed polymorph**: 0.80 eV per formula unit
# **Theoretical density**: 5.51 g/cm3
# **Raw formation energy**: -1.57 eV/atom
# **Electronic total energy**: -62.49 eV per cell
# **M_tot**: 1.13 μB per formula unit
# **SG**: C2/m (12)

=====

[2]
# HoSc2PaS4, optimized geometry, DFT PBE
data_HoSc2PaS4
_space_group_name_H-M_alt 'P 1'
_space_group_IT_number 1
_cell_length_a 3.758
_cell_length_b 6.606
_cell_length_c 6.563
_cell_angle_alpha 71.05
_cell_angle_beta 90.00
_cell_angle_gamma 90.00
loop_
_space_group_symop_operation_xyz
'x,y,z'
loop_
_atom_site_label
_atom_site_type_symbol
_atom_site_fract_x
_atom_site_fract_y
_atom_site_fract_z
Pa1 Pa 0.500 0.500 0.000
Ho1 Ho 0.000 0.500 0.500
Sc1 Sc 0.500 0.000 0.500
Sc2 Sc 0.000 0.000 0.000
S1 S 0.000 0.232 0.258
S2 S 0.500 0.234 0.754
S3 S 0.500 0.766 0.246
S4 S 0.000 0.768 0.742
# **Crystal system**: monoclinic
# **Calculated volume**: 19.3 Å³/atom
# **Theoretical density**: 6.62 g/cm3
# **Raw formation energy**: -1.80 eV/atom
# **Electronic total energy**: -57.66 eV per cell
# **M_tot**: 0.00 μB per formula unit
# **SG**: P2/m (10)